No. 1
## KIr2 (GGA-PBE)

Data for crystalline KIr2 at its relaxed geometry.

Unit cell a=12.302 b=12.302 c=4.313 alpha=90.00 beta=90.00 gamma=167.02
Sites, in units of the cell vectors:
K1 0.088 0.912 0.750
K2 0.912 0.088 0.250
Ir1 0.732 0.268 0.750
Ir2 0.328 0.672 0.750
Ir3 0.268 0.732 0.250
Ir4 0.672 0.328 0.250

Summary:
ΔH_f (0 K) ... 0.63 eV/atom
Crystal system ... orthorhombic
DOS at the Fermi energy ... 3.81 states/eV/f.u.
Magnetic moment ... 0.000 μB per atom
SG ... Cmcm

---

No. 2
## K2Ir (GGA-PBE)

Data for crystalline K2Ir at its relaxed geometry.

Unit cell a=9.631 b=9.631 c=5.726 alpha=90.00 beta=90.00 gamma=163.49
Sites, in units of the cell vectors:
K1 0.958 0.042 0.750
K2 0.288 0.712 0.750
K3 0.712 0.288 0.250
K4 0.042 0.958 0.250
Ir1 0.624 0.376 0.750
Ir2 0.376 0.624 0.250

Summary:
ΔH_f (0 K) ... 0.71 eV/atom
Crystal system ... orthorhombic
DOS at the Fermi energy ... 0.22 states/eV/f.u.
Magnetic moment ... 0.000 μB per atom
SG ... Cmcm

---

No. 3
## KIr2 (GGA-PBE)

Data for crystalline KIr2 at its relaxed geometry.

Unit cell a=6.437 b=6.437 c=7.886 alpha=89.95 beta=89.95 gamma=24.42
Sites, in units of the cell vectors:
K1 0.057 0.057 0.458
K2 0.666 0.666 0.959
Ir1 0.919 0.919 0.074
Ir2 0.803 0.803 0.575
Ir3 0.319 0.319 0.300
Ir4 0.403 0.403 0.800

Summary:
ΔH_f (0 K) ... 0.38 eV/atom
Crystal system ... monoclinic
DOS at the Fermi energy ... 2.92 states/eV/f.u.
Magnetic moment ... 0.000 μB per atom
SG ... Cm

---

No. 4
## KIr2 (GGA-PBE)

Data for crystalline KIr2 at its relaxed geometry.

Unit cell a=7.623 b=7.623 c=7.623 alpha=158.76 beta=158.76 gamma=30.21
Sites, in units of the cell vectors:
Ir1 0.308 0.308 0.000
Ir2 0.692 0.692 0.000
K1 0.000 0.000 0.000

Summary:
ΔH_f (0 K) ... 0.59 eV/atom
Crystal system ... tetragonal
DOS at the Fermi energy ... 2.13 states/eV/f.u.
Magnetic moment ... 0.000 μB per atom
SG ... I4/mmm

---

No. 5
## KIr2 (GGA-PBE)

Data for crystalline KIr2 at its relaxed geometry.

Unit cell a=4.162 b=6.267 c=7.406 alpha=90.00 beta=90.00 gamma=90.00
Sites, in units of the cell vectors:
K1 0.000 0.000 0.000
K2 0.500 0.500 0.500
Ir1 0.750 0.000 0.432
Ir2 0.250 0.000 0.568
Ir3 0.250 0.500 0.068
Ir4 0.750 0.500 0.932

Summary:
ΔH_f (0 K) ... 1.26 eV/atom
Crystal system ... orthorhombic
DOS at the Fermi energy ... 3.30 states/eV/f.u.
Magnetic moment ... 0.000 μB per atom
SG ... Pnnm

---

No. 6
## K2Ir3 (GGA-PBE)

Data for crystalline K2Ir3 at its relaxed geometry.

Unit cell a=5.953 b=5.953 c=5.953 alpha=50.28 beta=50.28 gamma=50.28
Sites, in units of the cell vectors:
K1 0.391 0.391 0.391
K2 0.609 0.609 0.609
Ir1 0.000 0.000 0.000
Ir2 0.849 0.849 0.849
Ir3 0.151 0.151 0.151

Summary:
ΔH_f (0 K) ... 0.90 eV/atom
Crystal system ... trigonal
DOS at the Fermi energy ... 5.61 states/eV/f.u.
Magnetic moment ... 0.010 μB per atom
SG ... R-3m